# 1
First-principles (PBEsol) data for CaSc3Sn after structural relaxation, as listed in Alexandria.

Total DFT energy (no corrections) = -0.185 hartree per atom
Total magnetic moment = 0.00 μB per formula unit

a = 5.4159 Å, b = 5.4159 Å, c = 5.4159 Å
α = 90.00°, β = 90.00°, γ = 90.00°
With the nearest neighbours (Å) after each atom.
Sites, in units of the cell vectors:
1 Ca 0.5000 0.5000 0.5000  12 Sc 3.83
2 Sn 0.0000 0.0000 0.0000  6 Sc 2.71
3 Sc 0.0000 0.5000 0.0000  2 Sn 2.71
4 Sc 0.0000 0.0000 0.5000  2 Sn 2.71
5 Sc 0.5000 0.0000 0.0000  2 Sn 2.71

# 2
First-principles (PBEsol) data for SrCa2Sc after structural relaxation, as listed in Alexandria.

Total DFT energy (no corrections) = -0.109 hartree per atom
Total magnetic moment = 0.02 μB per formula unit
Energy relative to the lowest polymorph listed for this composition = 0.0 meV/atom

a = 3.9751 Å, b = 6.0383 Å, c = 7.0907 Å
α = 115.20°, β = 106.28°, γ = 90.00°
With the nearest neighbours (Å) after each atom.
Sites, in units of the cell vectors:
1 Sc 0.5000 0.0000 0.0000  4 Ca 3.43, 4 Sr 3.61
2 Sr 0.0000 0.5000 0.0000  4 Sc 3.61, 4 Ca 3.85, 2 Sr 3.98
3 Ca 0.2293 0.2293 0.4586  2 Sc 3.43, 4 Ca 3.65
4 Ca 0.7707 0.7707 0.5414  2 Sc 3.43, 4 Ca 3.65

# 3
First-principles (PBEsol) data for SrCa2Sc after structural relaxation, as listed in Alexandria.

Total DFT energy (no corrections) = -0.109 hartree per atom
Total magnetic moment = 0.21 μB per formula unit
Energy relative to the lowest polymorph listed for this composition = 15.5 meV/atom

a = 4.0293 Å, b = 6.0227 Å, c = 7.0138 Å
α = 115.43°, β = 106.69°, γ = 90.00°
With the nearest neighbours (Å) after each atom.
Sites, in units of the cell vectors:
1 Ca 0.0049 0.0049 0.0099  4 Sc 3.63, 4 Ca 3.72-4.03, 2 Sr 3.81
2 Ca 0.7656 0.2656 0.5312  2 Sc 3.40, 4 Sr 3.64, 2 Ca 3.72
3 Sr 0.2361 0.7361 0.4722  2 Sc 3.54, 6 Ca 3.64-3.81
4 Sc 0.4934 0.4934 0.9868  6 Ca 3.40-3.63, 2 Sr 3.54

# 4
First-principles (PBEsol) data for Sr2CaSc after structural relaxation, as listed in Alexandria.

Total DFT energy (no corrections) = -0.104 hartree per atom
Total magnetic moment = 0.02 μB per formula unit
Energy relative to the lowest polymorph listed for this composition = 56.8 meV/atom

a = 4.3414 Å, b = 5.9435 Å, c = 5.9913 Å
α = 90.00°, β = 90.00°, γ = 90.00°
With the nearest neighbours (Å) after each atom.
Sites, in units of the cell vectors:
1 Ca 0.5000 0.5000 0.0000  4 Sr 3.68, 4 Sc 3.70
2 Sr 0.0000 0.0000 0.0000  4 Ca 3.68, 4 Sr 3.70
3 Sr 0.5000 0.0000 0.5000  4 Sc 3.68, 4 Sr 3.70
4 Sc 0.0000 0.5000 0.5000  4 Sr 3.68, 4 Ca 3.70

# 5
First-principles (PBEsol) data for Sr2CaSc after structural relaxation, as listed in Alexandria.

Total DFT energy (no corrections) = -0.105 hartree per atom
Total magnetic moment = 0.00 μB per formula unit
Energy relative to the lowest polymorph listed for this composition = 42.6 meV/atom

a = 6.0357 Å, b = 6.0357 Å, c = 6.0357 Å
α = 60.00°, β = 60.00°, γ = 60.00°
With the nearest neighbours (Å) after each atom.
Sites, in units of the cell vectors:
1 Sr 0.2500 0.2500 0.2500  4 Ca 3.70, 4 Sc 3.70
2 Sr 0.7500 0.7500 0.7500  4 Ca 3.70, 4 Sc 3.70
3 Ca 0.0000 0.0000 0.0000  8 Sr 3.70
4 Sc 0.5000 0.5000 0.5000  8 Sr 3.70

# 6
First-principles (PBEsol) data for SrCa2Sc after structural relaxation, as listed in Alexandria.

Total DFT energy (no corrections) = -0.108 hartree per atom
Total magnetic moment = 0.09 μB per formula unit
Energy relative to the lowest polymorph listed for this composition = 30.7 meV/atom

a = 3.5896 Å, b = 6.8868 Å, c = 6.9498 Å
α = 116.81°, β = 99.97°, γ = 99.89°
With the nearest neighbours (Å) after each atom.
Sites, in units of the cell vectors:
1 Sr 0.0000 0.5000 0.0000  2 Sr 3.59, 2 Sc 3.60, 4 Ca 3.62
2 Ca 0.5000 0.5000 0.5000  4 Ca 3.59-3.60, 2 Sc 3.62, 2 Sr 3.62
3 Ca 0.0000 0.0000 0.5000  4 Ca 3.59-3.60, 2 Sr 3.62, 2 Sc 3.62
4 Sc 0.5000 0.0000 0.0000  2 Sc 3.59, 2 Sr 3.60, 4 Ca 3.62

# 7
First-principles (PBEsol) data for Sr2CaSc after structural relaxation, as listed in Alexandria.

Total DFT energy (no corrections) = -0.106 hartree per atom
Total magnetic moment = 0.00 μB per formula unit
Energy relative to the lowest polymorph listed for this composition = 0.0 meV/atom

a = 4.0621 Å, b = 4.0621 Å, c = 9.5310 Å
α = 90.00°, β = 90.00°, γ = 90.00°
With the nearest neighbours (Å) after each atom.
Sites, in units of the cell vectors:
1 Ca 0.5000 0.5000 0.0000  8 Sr 3.93, 4 Ca 4.06
2 Sc 0.5000 0.5000 0.5000  8 Sr 3.55
3 Sr 0.0000 0.0000 0.2816  4 Sc 3.55, 4 Ca 3.93
4 Sr 0.0000 0.0000 0.7184  4 Sc 3.55, 4 Ca 3.93

# 8
First-principles (PBEsol) data for CaSc2Tc after structural relaxation, as listed in Alexandria.

Total DFT energy (no corrections) = -0.239 hartree per atom
Total magnetic moment = 0.00 μB per formula unit
Energy relative to the lowest polymorph listed for this composition = 194.3 meV/atom

a = 4.1799 Å, b = 5.0446 Å, c = 5.0446 Å
α = 63.63°, β = 65.53°, γ = 65.53°
With the nearest neighbours (Å) after each atom.
Sites, in units of the cell vectors:
1 Tc 0.5000 0.0000 0.0000  4 Sc 2.64
2 Sc 0.7851 0.2149 0.2149  2 Tc 2.64
3 Sc 0.2149 0.7851 0.7851  2 Tc 2.64
4 Ca 0.0000 0.5000 0.5000  8 Sc 2.99-3.11

# 9
First-principles (PBEsol) data for CaScTc2 after structural relaxation, as listed in Alexandria.

Total DFT energy (no corrections) = -0.269 hartree per atom
Total magnetic moment = 0.00 μB per formula unit
Energy relative to the lowest polymorph listed for this composition = 0.0 meV/atom

a = 2.7878 Å, b = 5.3906 Å, c = 5.3906 Å
α = 115.84°, β = 99.60°, γ = 99.60°
With the nearest neighbours (Å) after each atom.
Sites, in units of the cell vectors:
1 Tc 0.0000 0.0000 0.5000  4 Tc 2.79-2.86, 2 Sc 2.82, 2 Ca 2.82
2 Tc 0.0000 0.5000 0.0000  4 Tc 2.79-2.86, 2 Ca 2.82, 2 Sc 2.82
3 Ca 0.5000 0.0000 0.0000  2 Ca 2.79, 4 Tc 2.82, 2 Sc 2.86
4 Sc 0.5000 0.5000 0.5000  2 Sc 2.79, 4 Tc 2.82, 2 Ca 2.86

# 10
First-principles (PBEsol) data for CaScTc2 after structural relaxation, as listed in Alexandria.

Total DFT energy (no corrections) = -0.268 hartree per atom
Total magnetic moment = 0.00 μB per formula unit
Energy relative to the lowest polymorph listed for this composition = 27.4 meV/atom

a = 3.2637 Å, b = 4.5580 Å, c = 4.6523 Å
α = 90.00°, β = 90.00°, γ = 90.00°
With the nearest neighbours (Å) after each atom.
Sites, in units of the cell vectors:
1 Tc 0.0000 0.0000 0.0000  4 Ca 2.80, 4 Tc 2.84
2 Tc 0.5000 0.0000 0.5000  4 Sc 2.80, 4 Tc 2.84
3 Ca 0.5000 0.5000 0.0000  4 Tc 2.80, 4 Sc 2.84
4 Sc 0.0000 0.5000 0.5000  4 Tc 2.80, 4 Ca 2.84

# 11
First-principles (PBEsol) data for CaSc2Tc after structural relaxation, as listed in Alexandria.

Total DFT energy (no corrections) = -0.247 hartree per atom
Total magnetic moment = 0.00 μB per formula unit
Energy relative to the lowest polymorph listed for this composition = 0.0 meV/atom

a = 3.3009 Å, b = 3.3003 Å, c = 8.5203 Å
α = 90.00°, β = 90.12°, γ = 90.00°
With the nearest neighbours (Å) after each atom.
Sites, in units of the cell vectors:
1 Sc 0.9989 0.0000 0.1719  4 Tc 2.75-2.76, 1 Sc 2.93
2 Sc 0.0011 0.0000 0.8281  4 Tc 2.75-2.76, 1 Sc 2.93
3 Ca 0.5000 0.5000 0.5000  4 Ca 3.30, 8 Sc 3.64
4 Tc 0.5000 0.5000 0.0000  8 Sc 2.75-2.76

# 12
First-principles (PBEsol) data for CaScTc2 after structural relaxation, as listed in Alexandria.

Total DFT energy (no corrections) = -0.269 hartree per atom
Total magnetic moment = 0.00 μB per formula unit
Energy relative to the lowest polymorph listed for this composition = 10.5 meV/atom

a = 2.7443 Å, b = 2.7443 Å, c = 9.3333 Å
α = 90.00°, β = 90.00°, γ = 90.00°
With the nearest neighbours (Å) after each atom.
Sites, in units of the cell vectors:
1 Sc 0.5000 0.5000 0.5000  4 Sc 2.74, 8 Tc 2.93
2 Tc 0.0000 0.0000 0.2653  4 Tc 2.74, 4 Sc 2.93
3 Tc 0.0000 0.0000 0.7347  4 Tc 2.74, 4 Sc 2.93
4 Ca 0.5000 0.5000 0.0000  4 Ca 2.74

| no. | calculated formation energy (eV/atom) |
| --- | --- |
| 1 | 0.201 |
| 2 | 0.210 |
| 3 | 0.225 |
| 4 | 0.272 |
| 5 | 0.258 |
| 6 | 0.241 |
| 7 | 0.216 |
| 8 | 0.138 |
| 9 | 0.488 |
| 10 | 0.516 |
| 11 | -0.057 |
| 12 | 0.499 |